# CrReTe4

Crystalline CrReTe4 at its relaxed geometry (PBE, Alexandria via LeMat-Bulk).

Cell: 6.276 6.276 6.276 Å, 60.00 60.00 60.00°
Each line ends with the local moment (μB).
Fractional positions:
Te 0.876 0.375 0.375  0.05
Cr 0.750 0.750 0.750  4.19
Te 0.375 0.876 0.375  0.05
Te 0.375 0.375 0.876  0.05
Re 0.000 0.000 0.000  3.65
Te 0.375 0.375 0.375  0.05

Results
E   -25.21 eV/f.u.
Fermi-level density of states   4.611 states/eV/cell
Energy relative to the elements, uncorrected   1572 meV per atom

***

# SrZn2Ru

Crystalline SrZn2Ru at its relaxed geometry (PBE, Alexandria via LeMat-Bulk).

Cell: 4.355 4.355 5.954 Å, 68.61 68.61 59.97°
Fractional positions:
Ru 0.750 0.750 0.750
Zn 0.053 0.053 0.841
Zn 0.447 0.447 0.659
Sr 0.250 0.250 0.250

Results
E   -13.71 eV/f.u.
Fermi-level density of states   1.897 states/eV/cell
Energy relative to the elements   -0.2 eV per formula unit

***

# BaMg2Cd4Hg

Crystalline BaMg2Cd4Hg at its relaxed geometry (PBE, Alexandria via LeMat-Bulk).

Cell: 4.896 4.896 10.875 Å, 76.99 76.99 60.00°
Fractional positions:
Mg 0.761 0.761 0.716
Cd 0.598 0.598 0.207
Mg 0.239 0.239 0.284
Cd 0.873 0.873 0.380
Hg 0.500 0.500 0.500
Ba 0.000 0.000 0.000
Cd 0.127 0.127 0.620
Cd 0.402 0.402 0.793

Results
E   -10.18 eV/f.u.
Fermi-level density of states   4.466 states/eV/cell
Energy relative to the elements   -1.1 eV per formula unit

***

# AlWS2N

Crystalline AlWS2N at its relaxed geometry (PBE, Alexandria via LeMat-Bulk).

Cell: 4.829 4.829 3.820 Å, 90.00 90.00 90.00°
Fractional positions:
Al 0.500 0.500 0.500
S 0.000 0.500 0.000
W 0.000 0.000 0.000
S 0.500 0.000 0.000
N 0.000 0.000 0.500

Results
E   -32.90 eV/f.u.
Fermi-level density of states   2.116 states/eV/cell
Energy relative to the elements, uncorrected   76 meV per atom

***

The highest Fermi-level density of states belongs to which entry? CrReTe4